# 1
Density functional theory data (meta-GGA SCAN) for a crystal of CdOs2Se2 relaxed with PBEsol.

```
CdOs2Se2
1.0
-1.938 0.660 3.364
-1.306 -3.715 -0.024
7.425 -0.536 2.078
Cd Os Se
1 2 2
direct
0.000 0.000 0.000
0.250 0.750 0.500
0.750 0.250 0.500
0.650 0.650 0.301
0.350 0.350 0.699
```

Results
- Density of states at the Fermi level: 0.3648 states/eV per atom
- ΔE_f (raw): 0.341 eV per atom
- Space group: I4/mmm
- Theoretical density: 9.7 g/cm³
- Total magnetization: 0.0 μB/f.u.

***

# 2
Density functional theory data (meta-GGA SCAN) for a crystal of CdOs2Se relaxed with PBEsol.

```
CdOs2Se
1.0
-4.432 -0.365 -0.665
-1.573 -2.703 -3.230
-2.132 -3.804 1.093
Cd Os Se
1 2 1
direct
0.500 0.500 0.500
0.000 0.000 0.000
0.250 0.250 0.250
0.750 0.750 0.750
```

Results
- Density of states at the Fermi level: 1.1789 states/eV per atom
- ΔE_f (raw): 1.123 eV per atom
- Space group: F-43m
- Excess energy over the best structure of this formula in the dataset: 0.694 eV per atom
- Theoretical density: 14.8 g/cm³
- Total magnetization: 0.0 μB/f.u.

***

# 3
Density functional theory data (meta-GGA SCAN) for a crystal of Cd4OsSe relaxed with PBEsol.

```
Cd4OsSe
1.0
-0.189 -5.093 1.942
1.326 -4.198 -3.221
4.623 -2.757 0.878
Cd Os Se
4 1 1
direct
0.375 0.375 0.375
0.375 0.375 0.874
0.874 0.375 0.375
0.375 0.874 0.375
0.750 0.750 0.750
0.000 0.000 0.000
```

Results
- Density of states at the Fermi level: 0.1861 states/eV per atom
- ΔE_f (raw): 0.754 eV per atom
- Space group: F-43m
- Theoretical density: 10.4 g/cm³
- Total magnetization: 0.0 μB/f.u.

***

# 4
Density functional theory data (meta-GGA SCAN) for a crystal of CdOs2Se relaxed with PBEsol.

```
CdOs2Se
1.0
2.871 0.000 0.000
0.000 2.871 0.000
0.000 0.000 8.162
Cd Os Se
1 2 1
direct
0.500 0.500 0.782
0.000 0.000 0.032
0.500 0.500 0.236
0.000 0.000 0.450
```

Results
- Density of states at the Fermi level: 0.6987 states/eV per atom
- ΔE_f (raw): 0.429 eV per atom
- Space group: P4mm
- Excess energy over the best structure of this formula in the dataset: 0.000 eV per atom
- Theoretical density: 14.1 g/cm³
- Total magnetization: 0.0 μB/f.u.

***

# 5
Density functional theory data (meta-GGA SCAN) for a crystal of Cd3OsSe relaxed with PBEsol.

```
Cd3OsSe
1.0
-1.877 -0.922 4.664
4.727 0.180 1.937
-0.513 5.025 0.786
Os Se Cd
1 1 3
direct
0.000 0.000 0.000
0.500 0.500 0.500
0.000 0.500 0.000
0.000 0.000 0.500
0.500 0.000 0.000
```

Results
- Density of states at the Fermi level: 0.9092 states/eV per atom
- ΔE_f (raw): 0.972 eV per atom
- Space group: Pm-3m
- Theoretical density: 7.5 g/cm³
- Total magnetization: 2.4 μB/f.u.

***

# 6
Density functional theory data (meta-GGA SCAN) for a crystal of CdOsSe2 relaxed with PBEsol.

```
CdOsSe2
1.0
4.645 0.000 0.000
2.322 4.023 0.000
2.322 1.341 3.793
Cd Os Se
1 1 2
direct
0.500 0.500 0.500
0.250 0.250 0.250
0.000 0.000 0.000
0.750 0.750 0.750
```

Results
- Density of states at the Fermi level: 0.4501 states/eV per atom
- ΔE_f (raw): 1.117 eV per atom
- Space group: F-43m
- Theoretical density: 10.8 g/cm³
- Total magnetization: 0.0 μB/f.u.

***

# 7
Density functional theory data (meta-GGA SCAN) for a crystal of CdOsSe relaxed with PBEsol.

```
CdOsSe
1.0
4.350 0.000 0.000
2.175 3.767 0.000
2.175 1.256 3.552
Cd Os Se
1 1 1
direct
0.500 0.500 0.500
0.250 0.250 0.250
0.000 0.000 0.000
```

Results
- Density of states at the Fermi level: 1.3104 states/eV per atom
- ΔE_f (raw): 0.815 eV per atom
- Space group: F-43m
- Excess energy over the best structure of this formula in the dataset: 0.470 eV per atom
- Theoretical density: 10.9 g/cm³
- Total magnetization: 0.0 μB/f.u.

***

# 8
Density functional theory data (meta-GGA SCAN) for a crystal of CdOs2Se relaxed with PBEsol.

```
CdOs2Se
1.0
-2.308 2.719 -2.637
-0.755 -1.120 -4.225
-4.091 -1.116 -1.301
Cd Os Se
1 2 1
direct
0.000 0.000 0.000
0.750 0.750 0.750
0.250 0.250 0.250
0.500 0.500 0.500
```

Results
- Density of states at the Fermi level: 0.5175 states/eV per atom
- ΔE_f (raw): 1.062 eV per atom
- Space group: Fm-3m
- Excess energy over the best structure of this formula in the dataset: 0.632 eV per atom
- Theoretical density: 15.4 g/cm³
- Total magnetization: 0.0 μB/f.u.

***

# 9
Density functional theory data (meta-GGA SCAN) for a crystal of CdSiOs2 relaxed with PBEsol.

```
CdSiOs2
1.0
2.797 0.000 0.000
0.000 2.797 0.000
0.000 0.000 8.072
Cd Os Si
1 2 1
direct
0.500 0.500 0.768
0.000 0.000 0.033
0.500 0.500 0.245
0.000 0.000 0.454
```

Results
- Density of states at the Fermi level: 0.3586 states/eV per atom
- ΔE_f (raw): 0.246 eV per atom
- Space group: P4mm
- Theoretical density: 13.7 g/cm³
- Total magnetization: 0.0 μB/f.u.

***

# 10
Density functional theory data (meta-GGA SCAN) for a crystal of CdSiOs relaxed with PBEsol.

```
CdSiOs
1.0
-1.050 -0.435 3.126
3.109 -2.567 0.687
0.457 4.002 0.711
Cd Os Si
1 1 1
direct
0.000 0.000 0.000
0.500 0.333 0.667
0.500 0.667 0.333
```

Results
- Density of states at the Fermi level: 0.2611 states/eV per atom
- ΔE_f (raw): 0.139 eV per atom
- Space group: P-6m2
- Theoretical density: 11.4 g/cm³
- Total magnetization: 0.0 μB/f.u.

***

# 11
Density functional theory data (meta-GGA SCAN) for a crystal of CdSiOs2 relaxed with PBEsol.

```
CdSiOs2
1.0
-0.569 3.131 2.165
-3.637 -1.095 0.627
3.265 -3.034 1.824
Cd Os Si
1 2 1
direct
0.250 0.750 0.500
0.000 0.000 0.000
0.750 0.250 0.500
0.500 0.500 0.000
```

Results
- Density of states at the Fermi level: 0.7049 states/eV per atom
- ΔE_f (raw): 0.636 eV per atom
- Space group: I-4m2
- Theoretical density: 14.7 g/cm³
- Total magnetization: 0.0 μB/f.u.

***

# 12
Density functional theory data (meta-GGA SCAN) for a crystal of CdSiOs2 relaxed with PBEsol.

```
CdSiOs2
1.0
-3.755 -1.996 -1.110
-1.536 -3.310 2.449
-3.600 0.570 2.455
Cd Os Si
1 2 1
direct
0.500 0.500 0.500
0.000 0.000 0.000
0.250 0.250 0.250
0.750 0.750 0.750
```

Results
- Density of states at the Fermi level: 0.9396 states/eV per atom
- ΔE_f (raw): 0.791 eV per atom
- Space group: F-43m
- Theoretical density: 14.4 g/cm³
- Total magnetization: 0.0 μB/f.u.